[1]
# Lu3InN | the Alexandria database | PBEsol | optimized geometry
data_Lu3InN
_space_group_name_H-M_alt 'P 1'
_space_group_IT_number 1
_cell_length_a 4.617
_cell_length_b 4.617
_cell_length_c 4.617
_cell_angle_alpha 90.00
_cell_angle_beta 90.00
_cell_angle_gamma 90.00
loop_
_space_group_symop_operation_xyz
'x,y,z'
loop_
_atom_site_label
_atom_site_type_symbol
_atom_site_fract_x
_atom_site_fract_y
_atom_site_fract_z
Lu1 Lu 0.500 0.500 0.000
Lu2 Lu 0.000 0.500 0.500
Lu3 Lu 0.500 0.000 0.500
In1 In 0.000 0.000 0.000
N1 N 0.500 0.500 0.500
# - Raw formation energy: -1.14 eV/atom
# - Calculated volume: 19.68 A^3/atom
# - Calculated total energy: -6.37 eV/atom

***

[2]
# Lu4MnS7 | the Alexandria database | PBEsol | optimized geometry
data_Lu4MnS7
_space_group_name_H-M_alt 'P 1'
_space_group_IT_number 1
_cell_length_a 3.672
_cell_length_b 6.338
_cell_length_c 11.104
_cell_angle_alpha 104.42
_cell_angle_beta 90.00
_cell_angle_gamma 106.84
loop_
_space_group_symop_operation_xyz
'x,y,z'
loop_
_atom_site_label
_atom_site_type_symbol
_atom_site_fract_x
_atom_site_fract_y
_atom_site_fract_z
Lu1 Lu 0.302 0.605 0.197
Lu2 Lu 0.689 0.378 0.795
Lu3 Lu 0.996 0.993 0.006
Lu4 Lu 0.889 0.777 0.568
Mn1 Mn 0.118 0.237 0.422
S1 S 0.260 0.520 0.641
S2 S 0.735 0.470 0.351
S3 S 0.658 0.316 0.048
S4 S 0.336 0.672 0.947
S5 S 0.964 0.928 0.227
S6 S 0.034 0.069 0.786
S7 S 0.518 0.036 0.512
# - Raw formation energy: -1.81 eV/atom
# - Calculated volume: 19.90 A^3/atom
# - Calculated total energy: -6.80 eV/atom